(1)
Entry from Alexandria via LeMat-Bulk: a relaxed Cr2In crystal (PBE).

abc: 5.0539 5.0539 5.0539
angles: 107.08 107.08 114.36
Last column: nearest neighbours and their distance in Å.
Positions (direct):
1 Cr 0.8905 0.3905 0.2811  1 Cr 1.86
2 Cr 0.1095 0.6095 0.7189  1 Cr 1.86
3 Cr 0.3905 0.1095 0.5000  1 Cr 1.86
4 Cr 0.6095 0.8905 0.5000  1 Cr 1.86
5 In 0.2500 0.2500 0.0000  2 In 2.74, 8 Cr 2.79
6 In 0.7500 0.7500 0.0000  2 In 2.74, 8 Cr 2.79

Calculated values
crystal system: tetragonal
formation enthalpy at 0 K: 66.4 kJ/mol of atoms
space group: No. 140

***

(2)
Entry from Alexandria via LeMat-Bulk: a relaxed CrIn2 crystal (PBE).

abc: 3.0360 7.1744 7.1863
angles: 90.00 90.00 90.00
Last column: nearest neighbours and their distance in Å.
Positions (direct):
1 Cr 0.0000 0.0000 0.0000  6 In 2.72-2.80, 2 Cr 3.04
2 Cr 0.5000 0.5000 0.5000  6 In 2.72-2.80, 2 Cr 3.04
3 In 0.0000 0.2673 0.7310  3 Cr 2.72-2.80, 2 In 3.04
4 In 0.0000 0.7327 0.2690  3 Cr 2.72-2.80, 2 In 3.04
5 In 0.5000 0.7673 0.7690  3 Cr 2.72-2.80, 2 In 3.04
6 In 0.5000 0.2327 0.2310  3 Cr 2.72-2.80, 2 In 3.04

Calculated values
crystal system: orthorhombic
formation enthalpy at 0 K: 47.6 kJ/mol of atoms
space group: No. 58

***

Magnetization? In order: 0.000; 6.610 μB/cell.
Volume? In order: 98.8; 156.5 Å³/cell.